Record 1
A plane-wave DFT calculation with PBE was carried out for a geometry-optimized Rb3TlOs2O9 structure.

Cell lengths 5.8719, 5.8719, 8.3244 Å; angles 90.00, 90.00, 120.00 degrees
With the nearest neighbours (Å) after each atom.
Atoms (fractional coordinates):
O 0.1833 0.8167 0.2593  1 Os 1.82
O 0.6335 0.8167 0.2593  1 Os 1.82
O 0.5000 0.0000 0.0000  2 Os 2.06
O 0.1833 0.3665 0.2593  1 Os 1.82
O 0.8167 0.6335 0.7407  1 Os 1.82
O 0.3665 0.1833 0.7407  1 Os 1.82
O 0.8167 0.1833 0.7407  1 Os 1.82
O 0.0000 0.5000 0.0000  2 Os 2.06
O 0.5000 0.5000 0.0000  2 Os 2.06
Os 0.6667 0.3333 0.8598  3 O 1.82
Os 0.3333 0.6667 0.1402  3 O 1.82
Rb 0.0000 0.0000 0.0000  12 O 2.85-2.94
Rb 0.3333 0.6667 0.7007  9 O 2.96-3.01
Rb 0.6667 0.3333 0.2993  9 O 2.96-3.01
Tl 0.0000 0.0000 0.5000  6 O 2.74

Calculated values
Its density of states at the Fermi level is 8.6 states/eV per cell. The value obtained for the uncorrected formation energy is -1.158 eV/atom. Its energy is -5.9811 eV/atom.

Record 2
A plane-wave DFT calculation with PBE was carried out for a geometry-optimized Pr8Te4P3Cl structure.

Cell lengths 8.6017, 8.8610, 8.6014 Å; angles 119.04, 120.00, 90.00 degrees
With the nearest neighbours (Å) after each atom.
Atoms (fractional coordinates):
Pr 0.7547 0.2853 0.5095  2 P 2.90, 1 Cl 3.03, 1 Te 3.17
Pr 0.2758 0.2853 0.0306  2 P 2.90, 1 Cl 3.03, 1 Te 3.17
Pr 0.2453 0.7147 0.4905  2 P 2.90, 1 Cl 3.03, 1 Te 3.17
Pr 0.7242 0.7147 0.9694  2 P 2.90, 1 Cl 3.03, 1 Te 3.17
Pr 0.2452 0.7147 0.9694  2 P 2.90, 1 Cl 3.03, 1 Te 3.17
Pr 0.7548 0.2853 0.0306  2 P 2.90, 1 Cl 3.03, 1 Te 3.17
Pr 0.7373 0.7120 0.4747  3 P 2.93, 3 Te 3.26
Pr 0.2627 0.2880 0.5253  3 P 2.93, 3 Te 3.26
Te 0.5000 0.0000 0.5000  6 Pr 3.26-3.29
Te 0.0000 0.0000 0.5000  6 Pr 3.26-3.29
Te 0.0000 0.0000 0.0000  6 Pr 3.26-3.29
Te 0.5000 0.0000 0.0000  6 Pr 3.17
P 0.0000 0.5000 0.5000  6 Pr 2.90-2.93
P 0.5000 0.5000 0.5000  6 Pr 2.90-2.93
P 0.5000 0.5000 0.0000  6 Pr 2.90-2.93
Cl 0.0000 0.5000 0.0000  6 Pr 3.03

Calculated values
Its density of states at the Fermi level is 6.4 states/eV per cell. The value obtained for the uncorrected formation energy is -1.549 eV/atom. Its energy is -5.8535 eV/atom.

Record 3
A plane-wave DFT calculation with PBE was carried out for a geometry-optimized TaInW2 structure.

Cell lengths 4.1905, 4.0947, 4.0947 Å; angles 90.00, 90.00, 90.00 degrees
With the nearest neighbours (Å) after each atom.
Atoms (fractional coordinates):
W 0.0000 0.0000 0.0000  4 W 2.90, 4 Ta 2.93, 4 In 2.93
W 0.0000 0.5000 0.5000  4 W 2.90, 4 Ta 2.93, 4 In 2.93
In 0.5000 0.5000 0.0000  4 Ta 2.90, 8 W 2.93
Ta 0.5000 0.0000 0.5000  4 In 2.90, 8 W 2.93

Calculated values
The value obtained for the formation energy is 369.2 meV per atom. Its density of states at the Fermi level is 2.6 states/eV per cell. Its energy is -9.7552 eV/atom.

Record 4
A plane-wave DFT calculation with PBE was carried out for a geometry-optimized BaCdPb3 structure.

Cell lengths 5.4406, 5.4414, 7.0238 Å; angles 67.30, 67.32, 90.27 degrees
With the nearest neighbours (Å) after each atom.
Atoms (fractional coordinates):
Pb 0.6461 0.9522 0.4107  2 Cd 3.04-3.05, 2 Pb 3.17
Pb 0.7865 0.5903 0.1353  1 Cd 2.89, 4 Pb 3.17
Pb 0.1485 0.4494 0.4109  2 Cd 3.04-3.05, 2 Pb 3.17
Cd 0.0293 0.8325 0.6432  5 Pb 2.89-3.05
Ba 0.3973 0.2008 0.9110  12 Pb 4.00-4.08, 5 Cd 4.13-4.31

Calculated values
The value obtained for the formation energy is -253.8 meV per atom. Its density of states at the Fermi level is 1.8 states/eV per cell. The value obtained for the energy above the lowest structure with this stoichiometry is 0 meV/atom. Its energy is -3.0464 eV/atom.

Record 5
A plane-wave DFT calculation with PBE was carried out for a geometry-optimized Nd3IrO6 structure.

Cell lengths 5.8932, 7.3780, 7.3780 Å; angles 102.72, 90.00, 90.00 degrees
With the nearest neighbours (Å) after each atom.
Atoms (fractional coordinates):
O 0.6977 0.6429 0.6735  4 Nd 2.30-2.41
O 0.1977 0.6735 0.6429  4 Nd 2.30-2.41
O 0.1977 0.3571 0.3265  4 Nd 2.30-2.41
O 0.6942 0.9431 0.0569  1 Ir 2.09
O 0.2065 0.1120 0.5908  1 Ir 2.06
O 0.1942 0.0569 0.9431  1 Ir 2.09
O 0.1595 0.7877 0.2123  1 Ir 1.86
O 0.7065 0.5908 0.1120  1 Ir 2.06
O 0.6595 0.2123 0.7877  1 Ir 1.86
O 0.2065 0.4092 0.8880  1 Ir 2.06
O 0.6977 0.3265 0.3571  4 Nd 2.30-2.41
O 0.7065 0.8880 0.4092  1 Ir 2.06
Nd 0.9653 0.6949 0.9062  6 O 2.30-2.52
Nd 0.9653 0.0938 0.3051  6 O 2.30-2.52
Nd 0.4184 0.4000 0.6000  7 O 2.36-2.59
Nd 0.9184 0.6000 0.4000  7 O 2.36-2.59
Nd 0.4653 0.3051 0.0938  6 O 2.30-2.52
Nd 0.4653 0.9062 0.6949  6 O 2.30-2.52
Ir 0.4740 0.8006 0.1994  3 O 1.86-2.06
Ir 0.9740 0.1994 0.8006  3 O 1.86-2.06

Calculated values
Its density of states at the Fermi level is 1.2 states/eV per cell. The value obtained for the uncorrected formation energy is -2.482 eV/atom. Its energy is -7.7733 eV/atom.

Record 6
A plane-wave DFT calculation with PBE was carried out for a geometry-optimized PrDy3Se4 structure.

Cell lengths 4.0823, 4.0823, 27.5354 Å; angles 90.00, 90.00, 120.00 degrees
With the nearest neighbours (Å) after each atom.
Atoms (fractional coordinates):
Dy 0.3333 0.6667 0.6208  6 Se 2.88
Dy 0.0000 0.0000 0.0000  6 Se 2.89
Dy 0.3333 0.6667 0.8792  6 Se 2.88
Dy 0.6667 0.3333 0.1208  6 Se 2.88
Dy 0.0000 0.0000 0.5000  6 Se 2.89
Dy 0.6667 0.3333 0.3792  6 Se 2.88
Se 0.0000 0.0000 0.3193  3 Dy 2.88, 3 Pr 3.03
Se 0.0000 0.0000 0.6807  3 Dy 2.88, 3 Pr 3.03
Se 0.6667 0.3333 0.9393  6 Dy 2.88-2.89
Se 0.0000 0.0000 0.1807  3 Dy 2.88, 3 Pr 3.03
Se 0.6667 0.3333 0.5607  6 Dy 2.88-2.89
Se 0.3333 0.6667 0.4393  6 Dy 2.88-2.89
Se 0.0000 0.0000 0.8193  3 Dy 2.88, 3 Pr 3.03
Se 0.3333 0.6667 0.0607  6 Dy 2.88-2.89
Pr 0.3333 0.6667 0.2500  6 Se 3.03
Pr 0.6667 0.3333 0.7500  6 Se 3.03

Calculated values
Its density of states at the Fermi level is 9.4 states/eV per cell. The value obtained for the uncorrected formation energy is -1.770 eV/atom. The value obtained for the energy above the lowest structure with this stoichiometry is 0 meV/atom. Its energy is -5.8352 eV/atom.

Record 7
A plane-wave DFT calculation with PBE was carried out for a geometry-optimized BaZrSb2 structure.

Cell lengths 5.8131, 5.8131, 5.8131 Å; angles 132.72, 113.81, 85.29 degrees
With the nearest neighbours (Å) after each atom.
Atoms (fractional coordinates):
Sb 0.5312 0.5312 0.0000  2 Zr 2.99
Sb 0.9688 0.9688 0.0000  2 Zr 2.99
Ba 0.2500 0.7500 0.5000  8 Sb 3.35-3.68
Zr 0.7500 0.2500 0.5000  4 Sb 2.99

Calculated values
Its density of states at the Fermi level is 2.2 states/eV per cell. The value obtained for the uncorrected formation energy is -0.427 eV/atom. The value obtained for the energy above the lowest structure with this stoichiometry is 367 meV/atom. Its energy is -5.1060 eV/atom.

Record 8
A plane-wave DFT calculation with PBE was carried out for a geometry-optimized NpIn2PbSe4 structure.

Cell lengths 4.2575, 7.8483, 7.4851 Å; angles 71.97, 90.00, 90.00 degrees
With the nearest neighbours (Å) after each atom.
Atoms (fractional coordinates):
Se 0.5000 0.7160 0.2828  2 Np 2.89, 1 Pb 3.09, 1 In 3.14
Se 0.0000 0.2722 0.2694  1 Np 2.84, 2 Pb 3.09, 2 In 3.13
Se 0.5000 0.2840 0.7172  2 Np 2.89, 1 Pb 3.09, 1 In 3.14
Se 0.0000 0.7278 0.7306  1 Np 2.84, 2 Pb 3.09, 2 In 3.13
In 0.0000 0.0000 0.0000  6 Se 3.33-3.36
In 0.5000 0.0000 0.5000  6 Se 3.13-3.14
Np 0.0000 0.5000 0.5000  6 Se 2.84-2.89
Pb 0.5000 0.5000 0.0000  6 Se 3.09

Calculated values
Its density of states at the Fermi level is 8.7 states/eV per cell. The value obtained for the uncorrected formation energy is -0.645 eV/atom. Its energy is -5.1528 eV/atom.

Which value of energy does entry 6 give? -5.8352 eV/atom

What is the formula in the first record? Rb3TlOs2O9